# 1
A relaxed BiPdPb crystal, computed with PBE.

a b c (Å): 4.832 4.832 4.832
angles (deg): 60.00 60.00 60.00
Sites, in units of the cell vectors:
Pb  0.500  0.500  0.500
Bi  0.000  0.000  0.000
Pd  0.250  0.250  0.250

## Properties
The energy above the most stable polymorph in this dataset is 22.4 meV/atom. As for the total magnetic moment: 0.0000 μB per atom. The calculation puts the formation energy at -0.19 eV/atom. The value obtained for the total energy is -4.455 eV/atom.



# 2
A relaxed NdPPd3 crystal, computed with PBE.

a b c (Å): 4.619 4.619 4.619
angles (deg): 90.00 90.00 90.00
Sites, in units of the cell vectors:
Pd  0.000  0.000  0.500
Pd  0.500  0.000  0.000
P  0.000  0.000  0.000
Pd  0.000  0.500  0.000
Nd  0.500  0.500  0.500

## Properties
The energy above the most stable polymorph in this dataset is 0.0 meV/atom. As for the total magnetic moment: 0.0000 μB per atom. The calculation puts the formation energy at -0.72 eV/atom. The value obtained for the total energy is -5.870 eV/atom.



# 3
A relaxed BeCd2As crystal, computed with PBE.

a b c (Å): 8.760 8.760 8.760
angles (deg): 20.88 20.88 20.88
Sites, in units of the cell vectors:
As  0.250  0.250  0.250
Cd  0.489  0.489  0.489
Be  0.750  0.750  0.750
Cd  0.011  0.011  0.011

## Properties
The energy above the most stable polymorph in this dataset is 220.9 meV/atom. As for the total magnetic moment: 0.0000 μB per atom. The calculation puts the formation energy at 0.36 eV/atom. The value obtained for the total energy is -2.188 eV/atom.



# 4
A relaxed Y2RuO6 crystal, computed with PBE.

a b c (Å): 5.419 5.825 7.697
angles (deg): 90.00 97.05 90.00
Last column: magnetic moment on the atom in μB.
Sites, in units of the cell vectors:
O  0.857  0.726  0.589  0.07
O  0.643  0.226  0.911  0.07
Y  0.457  0.092  0.264  0.03
Y  0.957  0.408  0.764  0.03
O  0.339  0.570  0.771  0.08
O  0.797  0.670  0.945  0.11
O  0.357  0.774  0.089  0.07
Y  0.043  0.592  0.236  0.03
Ru  0.500  0.500  0.000  1.28
Y  0.543  0.908  0.736  0.03
O  0.161  0.070  0.729  0.08
O  0.297  0.830  0.445  0.11
Ru  0.000  0.000  0.500  1.28
O  0.661  0.430  0.229  0.08
O  0.143  0.274  0.411  0.07
O  0.839  0.930  0.271  0.08
O  0.703  0.170  0.555  0.11
O  0.203  0.330  0.055  0.11

## Properties
As for the total magnetic moment: 0.2227 μB per atom. The formation energy from raw total energies comes out at -2.277 eV/atom. The value obtained for the total energy is -8.050 eV/atom.



# 5
A relaxed Lu2NiHg crystal, computed with PBE.

a b c (Å): 4.938 4.938 4.938
angles (deg): 60.00 60.00 60.00
Sites, in units of the cell vectors:
Ni  0.500  0.500  0.500
Lu  0.750  0.750  0.750
Hg  0.000  0.000  0.000
Lu  0.250  0.250  0.250

## Properties
The energy above the most stable polymorph in this dataset is 85.3 meV/atom. As for the total magnetic moment: 0.0000 μB per atom. The calculation puts the formation energy at -0.40 eV/atom. The value obtained for the total energy is -4.182 eV/atom.



# 6
A relaxed Cs3Pu2ScS6 crystal, computed with PBE.

a b c (Å): 7.067 7.067 8.353
angles (deg): 98.11 98.11 119.99
Last column: magnetic moment on the atom in μB.
Sites, in units of the cell vectors:
Cs  0.833  0.167  0.500  0.00
S  0.059  0.380  0.177  -0.07
S  0.261  0.261  0.822  -0.07
Sc  0.000  0.000  0.000  0.07
S  0.941  0.620  0.823  -0.07
Cs  0.500  0.500  0.500  0.00
S  0.620  0.941  0.823  -0.07
S  0.380  0.059  0.177  -0.07
S  0.739  0.739  0.178  -0.07
Pu  0.333  0.667  0.000  5.04
Cs  0.167  0.833  0.500  0.00
Pu  0.667  0.333  0.000  5.04

## Properties
As for the total magnetic moment: 0.8333 μB per atom. The formation energy from raw total energies comes out at -1.572 eV/atom. The value obtained for the total energy is -6.766 eV/atom.



# 7
A relaxed TlNiBr2 crystal, computed with PBE.

a b c (Å): 3.649 4.901 6.604
angles (deg): 71.03 90.00 90.00
Last column: magnetic moment on the atom in μB.
Sites, in units of the cell vectors:
Tl  0.500  0.750  0.750  0.00
Br  0.000  0.374  0.454  0.08
Br  0.000  0.126  0.046  0.08
Ni  0.500  0.250  0.250  0.82

## Properties
The energy above the most stable polymorph in this dataset is 38.2 meV/atom. As for the total magnetic moment: 0.2522 μB per atom. The formation energy from raw total energies comes out at -0.316 eV/atom. The value obtained for the total energy is -3.189 eV/atom.



# 8
A relaxed CdPtCl2 crystal, computed with PBE.

a b c (Å): 4.469 4.469 3.905
angles (deg): 90.00 90.00 89.99
Sites, in units of the cell vectors:
Cl  0.000  0.000  0.000
Cl  0.500  0.500  0.000
Pt  0.500  0.000  0.500
Cd  0.000  0.500  0.500

## Properties
The energy above the most stable polymorph in this dataset is 672.2 meV/atom. As for the total magnetic moment: 0.0000 μB per atom. The formation energy from raw total energies comes out at 0.234 eV/atom. The value obtained for the total energy is -2.429 eV/atom.



# 9
A relaxed CaTb3Hg4 crystal, computed with PBE.

a b c (Å): 5.279 7.528 10.557
angles (deg): 90.00 90.00 90.00
Sites, in units of the cell vectors:
Hg  0.500  0.247  0.000
Hg  0.500  0.753  0.000
Hg  0.500  0.753  0.500
Tb  0.499  0.500  0.750
Hg  0.001  0.247  0.250
Hg  0.999  0.247  0.750
Ca  0.000  0.500  0.500
Ca  0.000  0.500  0.000
Hg  0.999  0.753  0.750
Tb  0.501  0.000  0.250
Tb  0.000  0.000  0.500
Tb  0.501  0.500  0.250
Tb  0.000  0.000  0.000
Hg  0.001  0.753  0.250
Hg  0.500  0.247  0.500
Tb  0.499  0.000  0.750

## Properties
As for the total magnetic moment: 0.0000 μB per atom. The calculation puts the formation energy at -0.51 eV/atom. The value obtained for the total energy is -2.651 eV/atom.



# 10
A relaxed AcGe2Pt5Rh crystal, computed with PBE.

a b c (Å): 4.216 4.216 10.629
angles (deg): 90.00 90.00 90.00
Sites, in units of the cell vectors:
Ge  0.500  0.500  0.271
Pt  0.500  0.500  0.500
Pt  0.500  0.000  0.152
Rh  0.000  0.000  0.000
Pt  0.000  0.500  0.848
Ge  0.500  0.500  0.729
Pt  0.500  0.000  0.848
Ac  0.000  0.000  0.500
Pt  0.000  0.500  0.152

## Properties
As for the total magnetic moment: 0.0000 μB per atom. The calculation puts the formation energy at -0.38 eV/atom. The value obtained for the total energy is -6.032 eV/atom.



# 11
A relaxed RbAgTe2 crystal, computed with PBE.

a b c (Å): 5.423 5.423 12.617
angles (deg): 71.25 71.22 80.53
Sites, in units of the cell vectors:
Te  0.253  0.730  0.525
Ag  0.533  0.743  0.162
Rb  0.905  0.371  0.412
Rb  0.162  0.114  0.912
Te  0.520  0.462  0.025
Te  0.546  0.023  0.298
Te  0.813  0.755  0.798
Ag  0.533  0.742  0.662

## Properties
As for the total magnetic moment: 0.0000 μB per atom. The formation energy from raw total energies comes out at -0.431 eV/atom. The value obtained for the total energy is -2.957 eV/atom.



# 12
A relaxed DyMgAgCl6 crystal, computed with PBE.

a b c (Å): 6.635 6.635 12.205
angles (deg): 90.00 90.00 120.00
Sites, in units of the cell vectors:
Cl  0.360  0.346  0.868
Cl  0.654  0.014  0.868
Cl  0.014  0.654  0.368
Cl  0.640  0.986  0.368
Dy  0.667  0.333  0.250
Ag  0.000  0.000  0.000
Dy  0.333  0.667  0.750
Cl  0.640  0.654  0.132
Mg  0.667  0.333  0.750
Cl  0.986  0.640  0.868
Mg  0.333  0.667  0.250
Cl  0.346  0.360  0.368
Cl  0.360  0.014  0.632
Cl  0.346  0.986  0.132
Ag  0.000  0.000  0.500
Cl  0.014  0.360  0.132
Cl  0.986  0.346  0.632
Cl  0.654  0.640  0.632

## Properties
As for the total magnetic moment: 0.0000 μB per atom. The formation energy from raw total energies comes out at -1.712 eV/atom. The value obtained for the total energy is -3.949 eV/atom.